Entry from Alexandria: a geometry-optimized YSn3Ge structure (GGA-PBE).

Theoretical density, g cm⁻³: 4.56
Energy relative to the lowest polymorph listed for this composition, eV per atom: 0.4305
E_form, kJ per mole of atoms: 69.9
Raw total energy, eV/atom: -3.89

a b c (Å): 5.7348 5.7348 5.7348
angles (deg): 90.00 90.00 90.00
Closest atoms and distances in Å follow each position.
Atoms (fractional coordinates):
Y: 0.0000 0.0000 0.0000  6 Sn 2.87
Ge: 0.5000 0.5000 0.5000  12 Sn 4.06
Sn: 0.0000 0.5000 0.0000  2 Y 2.87
Sn: 0.0000 0.0000 0.5000  2 Y 2.87
Sn: 0.5000 0.0000 0.0000  2 Y 2.87